GdHfO3 (PBE-GGA, relaxed); total energy = -45.42 eV/f.u.; V = 131 Å³ per cell
1.0
2.7490 1.5872 5.0117
-2.7490 1.5872 5.0117
0.0000 -3.1743 5.0117
Gd Hf O
2 2 6
Direct
0.1235 0.1235 0.1235 Gd
0.8765 0.8765 0.8765 Gd
0.3455 0.3455 0.3455 Hf
0.6545 0.6545 0.6545 Hf
0.0701 0.6740 0.5202 O
0.3260 0.4798 0.9299 O
0.4798 0.9299 0.3260 O
0.5202 0.0701 0.6740 O
0.6740 0.5202 0.0701 O
0.9299 0.3260 0.4798 O

GdHf2O4 (PBE-GGA, relaxed); total energy = -63.88 eV/f.u.; V = 195 Å³ per cell
1.0
0.0000 4.6057 4.6057
4.6057 0.0000 4.6057
4.6057 4.6057 0.0000
Gd Hf O
2 4 8
Direct
0.1250 0.1250 0.1250 Gd
0.8750 0.8750 0.8750 Gd
0.0000 0.5000 0.5000 Hf
0.5000 0.0000 0.5000 Hf
0.5000 0.5000 0.0000 Hf
0.5000 0.5000 0.5000 Hf
0.2633 0.2633 0.2633 O
0.2633 0.2633 0.7102 O
0.2633 0.7102 0.2633 O
0.2898 0.7367 0.7367 O
0.7102 0.2633 0.2633 O
0.7367 0.2898 0.7367 O
0.7367 0.7367 0.2898 O
0.7367 0.7367 0.7367 O